1.
# Tl2CdSi, optimized geometry, DFT PBE
data_Tl2CdSi
_cell_length_a 6.532
_cell_length_b 10.512
_cell_length_c 3.081
_cell_angle_alpha 90.00
_cell_angle_beta 104.88
_cell_angle_gamma 90.00
_symmetry_space_group_name_H-M 'C 1 2/m 1'
_symmetry_Int_Tables_number 12
_symmetry_space_group_name_Hall '-C 2y'
loop_
_atom_site_label
_atom_site_type_symbol
_atom_site_fract_x
_atom_site_fract_y
_atom_site_fract_z
Tl1 Tl 0.250 0.250 0.000
Cd1 Cd 0.000 0.000 0.500
Si1 Si 0.000 0.500 0.500
# Energy relative to the elements, uncorrected: 0.388 eV per atom
# VASP energy: -19.039 eV for the cell shown
# Crystal system: monoclinic

=====

2.
# TlCdSi2, optimized geometry, DFT PBE
data_TlCdSi2
_cell_length_a 4.268
_cell_length_b 4.268
_cell_length_c 9.409
_cell_angle_alpha 90.00
_cell_angle_beta 90.00
_cell_angle_gamma 90.00
_symmetry_space_group_name_H-M 'I 4/m m m'
_symmetry_Int_Tables_number 139
_symmetry_space_group_name_Hall '-I 4 2'
loop_
_atom_site_label
_atom_site_type_symbol
_atom_site_fract_x
_atom_site_fract_y
_atom_site_fract_z
Tl1 Tl 0.000 0.000 0.000
Cd1 Cd 0.000 0.000 0.500
Si1 Si 0.000 0.500 0.250
# Energy relative to the elements, uncorrected: 0.596 eV per atom
# VASP energy: -23.486 eV for the cell shown
# Crystal system: tetragonal

=====

3.
# TlCd3Si, optimized geometry, DFT PBE
data_TlCd3Si
_cell_length_a 5.489
_cell_length_b 5.489
_cell_length_c 5.489
_cell_angle_alpha 90.00
_cell_angle_beta 90.00
_cell_angle_gamma 90.00
_symmetry_space_group_name_H-M 'P m -3 m'
_symmetry_Int_Tables_number 221
_symmetry_space_group_name_Hall '-P 4 2 3'
loop_
_atom_site_label
_atom_site_type_symbol
_atom_site_fract_x
_atom_site_fract_y
_atom_site_fract_z
Tl1 Tl 0.000 0.000 0.000
Cd1 Cd 0.000 0.000 0.500
Si1 Si 0.500 0.500 0.500
# Energy relative to the elements, uncorrected: 0.908 eV per atom
# VASP energy: -5.996 eV for the cell shown
# Crystal system: cubic

=====

4.
# TlCd3Si, optimized geometry, DFT PBE
data_TlCd3Si
_cell_length_a 5.233
_cell_length_b 5.233
_cell_length_c 5.233
_cell_angle_alpha 90.00
_cell_angle_beta 90.00
_cell_angle_gamma 90.00
_symmetry_space_group_name_H-M 'P m -3 m'
_symmetry_Int_Tables_number 221
_symmetry_space_group_name_Hall '-P 4 2 3'
loop_
_atom_site_label
_atom_site_type_symbol
_atom_site_fract_x
_atom_site_fract_y
_atom_site_fract_z
Tl1 Tl 0.000 0.000 0.000
Cd1 Cd 0.000 0.500 0.500
Si1 Si 0.500 0.500 0.500
# Energy relative to the elements, uncorrected: 0.320 eV per atom
# VASP energy: -8.936 eV for the cell shown
# Crystal system: cubic

=====

5.
# TlCd2Si, optimized geometry, DFT PBE
data_TlCd2Si
_cell_length_a 3.355
_cell_length_b 3.355
_cell_length_c 8.351
_cell_angle_alpha 90.00
_cell_angle_beta 90.00
_cell_angle_gamma 90.00
_symmetry_space_group_name_H-M 'P 4/m m m'
_symmetry_Int_Tables_number 123
_symmetry_space_group_name_Hall '-P 4 2'
loop_
_atom_site_label
_atom_site_type_symbol
_atom_site_fract_x
_atom_site_fract_y
_atom_site_fract_z
Tl1 Tl 0.000 0.000 0.000
Cd1 Cd 0.500 0.500 0.291
Si1 Si 0.000 0.000 0.500
# Energy relative to the elements, uncorrected: 0.281 eV per atom
# VASP energy: -8.497 eV for the cell shown
# Crystal system: tetragonal

=====

6.
# TlCd2Si, optimized geometry, DFT PBE
data_TlCd2Si
_cell_length_a 7.231
_cell_length_b 7.231
_cell_length_c 7.231
_cell_angle_alpha 90.00
_cell_angle_beta 90.00
_cell_angle_gamma 90.00
_symmetry_space_group_name_H-M 'F m -3 m'
_symmetry_Int_Tables_number 225
_symmetry_space_group_name_Hall '-F 4 2 3'
loop_
_atom_site_label
_atom_site_type_symbol
_atom_site_fract_x
_atom_site_fract_y
_atom_site_fract_z
Tl1 Tl 0.000 0.000 0.000
Cd1 Cd 0.250 0.250 0.250
Si1 Si 0.000 0.000 0.500
# Energy relative to the elements, uncorrected: 0.347 eV per atom
# VASP energy: -32.926 eV for the cell shown
# Crystal system: cubic

=====

Number 1: DOS at the Fermi energy 0.34 states/eV per atom. Number 2: DOS at the Fermi energy 0.56 states/eV per atom. Number 3: DOS at the Fermi energy 0.85 states/eV per atom. Number 4: DOS at the Fermi energy 0.52 states/eV per atom. Number 5: DOS at the Fermi energy 0.27 states/eV per atom. Number 6: DOS at the Fermi energy 0.64 states/eV per atom.